(1)
The following is a PBE-GGA calculation of a geometry-optimized Hf2FeGeP structure, from Alexandria via LeMat-Bulk.

Total moment ... 0.0 μB per cell
N(E_F) ... 4.2 states/eV per cell
Uncorrected energy ... -38.7 eV/cell
Space group ... P4/mmm (123)
ΔH_f (0 K) ... -0.27 eV/f.u.

Cell lengths 4.9629, 4.1175, 4.9629 Å; angles 90.00, 90.00, 90.00 degrees
With the nearest neighbours (Å) after each atom.
Atoms (fractional coordinates):
1 P 0.0000 0.5000 0.0000  2 Fe 2.06
2 Ge 0.5000 0.5000 0.5000  8 Hf 3.22, 4 P 3.51
3 Hf 0.0000 0.0000 0.5000  2 Fe 2.48
4 Hf 0.5000 0.0000 0.0000  2 Fe 2.48
5 Fe 0.0000 0.0000 0.0000  2 P 2.06

(2)
The following is a PBE-GGA calculation of a geometry-optimized HfFe2ReGe structure, from Alexandria via LeMat-Bulk.

Total moment ... 5.6 μB per cell
N(E_F) ... 5.7 states/eV per cell
Uncorrected energy ... -34.8 eV/cell
Space group ... P4/mmm (123)
ΔH_f (0 K) ... 9.19 eV/f.u.

Cell lengths 4.5618, 4.9431, 4.5618 Å; angles 90.00, 90.00, 90.00 degrees
With the nearest neighbours (Å) after each atom.
Atoms (fractional coordinates):
1 Re 0.0000 0.5000 0.0000  2 Hf 2.47
2 Ge 0.5000 0.5000 0.5000  4 Re 3.23, 8 Fe 3.36
3 Hf 0.0000 0.0000 0.0000  4 Fe 2.28, 2 Re 2.47
4 Fe 0.0000 0.0000 0.5000  2 Hf 2.28
5 Fe 0.5000 0.0000 0.0000  2 Hf 2.28

(3)
The following is a PBE-GGA calculation of a geometry-optimized HfFeGeW2 structure, from Alexandria via LeMat-Bulk.

Total moment ... 0.1 μB per cell
N(E_F) ... 3.3 states/eV per cell
Uncorrected energy ... -40.5 eV/cell
Space group ... P4/mmm (123)
ΔH_f (0 K) ... 8.41 eV/f.u.

Cell lengths 4.5345, 4.7411, 4.5345 Å; angles 90.00, 90.00, 90.00 degrees
With the nearest neighbours (Å) after each atom.
Atoms (fractional coordinates):
1 Ge 0.0000 0.0000 0.0000  4 W 2.27, 2 Hf 2.37
2 Hf 0.0000 0.5000 0.0000  2 Ge 2.37
3 Fe 0.5000 0.5000 0.5000  4 Hf 3.21, 8 W 3.28
4 W 0.0000 0.0000 0.5000  2 Ge 2.27
5 W 0.5000 0.0000 0.0000  2 Ge 2.27